Entry 1:
Below is a geometry-optimized Ac4TbTh3P8 structure, with properties calculated at the PBE-GGA level.

Lattice parameters (Å, degrees): 8.5125 8.5780 8.5127 119.75 120.00 90.00
Closest atoms and distances in Å follow each position.
Fractional positions:
P 0.2569 0.2707 0.5138  3 Th 2.94, 3 Ac 3.11
P 0.7577 0.2716 0.5155  1 Tb 2.93, 2 Th 2.94, 3 Ac 3.11-3.12
P 0.7577 0.2716 0.0139  1 Tb 2.93, 2 Th 2.94, 3 Ac 3.11-3.12
P 0.7431 0.7293 0.4862  3 Th 2.94, 3 Ac 3.11
P 0.2562 0.2716 0.0139  1 Tb 2.93, 2 Th 2.94, 3 Ac 3.11-3.12
P 0.7438 0.7284 0.9861  1 Tb 2.93, 2 Th 2.94, 3 Ac 3.11-3.12
P 0.2423 0.7284 0.4845  1 Tb 2.93, 2 Th 2.94, 3 Ac 3.11-3.12
P 0.2423 0.7284 0.9861  1 Tb 2.93, 2 Th 2.94, 3 Ac 3.11-3.12
Ac 0.5000 0.0000 0.0000  6 P 3.12
Ac 0.0000 0.0000 0.0000  6 P 3.11
Ac 0.5000 0.0000 0.5000  6 P 3.11
Ac 0.0000 0.0000 0.5000  6 P 3.11
Th 0.0000 0.5000 0.5000  6 P 2.94
Th 0.5000 0.5000 0.0000  6 P 2.94
Th 0.5000 0.5000 0.5000  6 P 2.94
Tb 0.0000 0.5000 0.0000  6 P 2.93

Properties
Space-group type = No. 166
Size of the total moment = 0.0 μB per formula unit
Crystal system = trigonal
Formation enthalpy at 0 K = -1516 meV/atom

***

Entry 2:
Below is a geometry-optimized NbCrW2 structure, with properties calculated at the PBE-GGA level.

Lattice parameters (Å, degrees): 3.6765 3.6765 10.3528 79.77 79.77 90.00
Closest atoms and distances in Å follow each position.
Fractional positions:
W 0.6217 0.1250 0.2500  4 W 2.58-2.62, 2 Cr 2.82, 2 Nb 2.83
W 0.3750 0.3783 0.7500  4 W 2.58-2.62, 2 Cr 2.82, 2 Nb 2.83
W 0.1283 0.6250 0.2500  4 W 2.58-2.62, 2 Cr 2.82, 2 Nb 2.83
W 0.8750 0.8717 0.7500  4 W 2.58-2.62, 2 Cr 2.82, 2 Nb 2.83
Nb 0.7500 0.2500 0.5000  4 Cr 2.60, 4 W 2.83
Nb 0.0000 0.0000 0.0000  4 Cr 2.60, 4 W 2.83
Cr 0.5000 0.5000 0.0000  4 Nb 2.60, 4 W 2.82
Cr 0.2500 0.7500 0.5000  4 Nb 2.60, 4 W 2.82

Properties
Energy above the most stable polymorph in this dataset = 0.841 eV per atom
Space-group type = No. 122
Size of the total moment = 0.1 μB per formula unit
Crystal system = tetragonal
Formation enthalpy at 0 K = 895 meV/atom

***

Entry 3:
Below is a geometry-optimized Ho5Er4Tl structure, with properties calculated at the PBE-GGA level.

Lattice parameters (Å, degrees): 6.1320 7.8354 7.8354 81.19 66.96 66.96
Closest atoms and distances in Å follow each position.
Fractional positions:
Ho 0.7351 0.0796 0.3730  1 Tl 3.07, 2 Er 3.23-3.25, 1 Ho 3.36
Ho 0.1878 0.9204 0.6270  1 Tl 3.07, 2 Er 3.23-3.25, 1 Ho 3.36
Ho 0.8148 0.3730 0.9204  1 Tl 3.07, 2 Er 3.23-3.25, 1 Ho 3.36
Ho 0.1082 0.6270 0.0796  1 Tl 3.07, 2 Er 3.23-3.25, 1 Ho 3.36
Ho 0.6467 0.0000 0.0000  1 Tl 2.84
Er 0.4159 0.3888 0.6968  4 Ho 3.23-3.48, 1 Er 3.26
Er 0.1127 0.3032 0.3888  4 Ho 3.23-3.48, 1 Er 3.26
Er 0.8047 0.6968 0.6112  4 Ho 3.23-3.48, 1 Er 3.26
Er 0.5015 0.6112 0.3032  4 Ho 3.23-3.48, 1 Er 3.26
Tl 0.1830 0.0000 0.0000  5 Ho 2.84-3.07

Properties
Energy above the most stable polymorph in this dataset = 0.279 eV per atom
Space-group type = No. 79
Size of the total moment = 0.0 μB per formula unit
Crystal system = tetragonal
Formation enthalpy at 0 K = 229 meV/atom

***

> Which value of size of the total moment does entry 2 give?

0.1 μB per formula unit